Entry 1:
5
Lattice="-2.779 -0.235 -2.841 -3.971 -2.405 1.294 -3.182 3.619 0.024" Properties=species:S:1:pos:R:3 comment="MgZn4 PBEsol optimized geometry" relative_energy_mev_per_atom=0 delta_e_f_ev_per_atom=-0.01 final_energy_ev_per_atom=-1.6189 space_group=I4/m pbc="T T T"
Zn -4.427 1.543 -1.376
Zn -2.789 -0.207 -0.044
Zn -7.144 1.187 -1.479
Zn -5.506 -0.563 -0.147
Mg 0.000 0.000 0.000

***

Entry 2:
4
Lattice="-2.274 2.835 0.032 -2.547 -2.025 -1.618 -3.345 -2.782 8.746" Properties=species:S:1:pos:R:3 comment="SrLaMg2 PBEsol optimized geometry" delta_e_f_ev_per_atom=0.05 final_energy_ev_per_atom=-2.6095 space_group=P4mm pbc="T T T"
La -5.070 -1.807 6.159
Sr -1.574 -1.309 4.116
Mg -0.091 -0.076 0.238
Mg -3.104 -0.172 1.019